VASP calculation (PBE+U) on a geometry-optimized Li2MnFeB2O6 structure.

uncorrected energy	-170.71	eV/cell
ΔE to the lowest computed polymorph	3	meV per atom
total moment	8.9	μB/f.u.

Cell: 5.1674 5.2484 10.9693 Å, 76.83 78.83 60.71°
Closest atoms and distances in Å follow each position.
Space group P-1 (No. 2)
Symmetry-distinct sites (fractional):
Li 0.1440 0.2883 0.0893 [2 per cell]  4 O 1.93-2.06
Li 0.3552 0.2106 0.4121 [2 per cell]  4 O 1.96-2.04
Mn 0.4683 0.6240 0.1317 [2 per cell]  4 O 2.09-2.21
Fe 0.0295 0.8868 0.3697 [2 per cell]  4 O 2.01-2.18
B 0.1922 0.0390 0.8800 [2 per cell]  3 O 1.38-1.40
B 0.3090 0.4590 0.6191 [2 per cell]  3 O 1.38-1.41
O 0.0350 0.9751 0.1655 [2 per cell]  1 B 1.40
O 0.0504 0.7239 0.5919 [2 per cell]  1 B 1.40
O 0.1536 0.3074 0.8990 [2 per cell]  1 B 1.38
O 0.3362 0.1955 0.6009 [2 per cell]  1 B 1.38
O 0.4493 0.7786 0.9119 [2 per cell]  1 B 1.39
O 0.4552 0.5333 0.3388 [2 per cell]  1 B 1.41